Run a
B5C7 | GGA-PBE | relaxed

Structure (CIF):
```
data_B5C7
_cell_length_a 4.6113
_cell_length_b 8.0260
_cell_length_c 4.6694
_cell_angle_alpha 90.00
_cell_angle_beta 111.12
_cell_angle_gamma 90.00
_space_group_name_H-M_alt 'C 1 m 1'
_space_group_IT_number 8
_space_group_name_Hall 'C -2y'
loop_
_atom_site_label
_atom_site_type_symbol
_atom_site_fract_x
_atom_site_fract_y
_atom_site_fract_z
B1 B 0.0000 0.0000 0.0000
B2 B 0.0429 0.1631 0.4868
B3 B 0.0722 0.5000 0.5779
B4 B 0.3925 0.0000 0.0334
C1 C 0.0375 0.3202 0.9901
C2 C 0.3984 0.3255 0.1206
C3 C 0.4114 0.1640 0.6440
C4 C 0.4347 0.5000 0.6314
```

=====

Run b
B5C7 | GGA-PBE | relaxed

Structure (CIF):
```
data_B5C7
_cell_length_a 13.0732
_cell_length_b 2.6563
_cell_length_c 5.3163
_cell_angle_alpha 90.00
_cell_angle_beta 108.75
_cell_angle_gamma 90.00
_space_group_name_H-M_alt 'C 1 m 1'
_space_group_IT_number 8
_space_group_name_Hall 'C -2y'
loop_
_atom_site_label
_atom_site_type_symbol
_atom_site_fract_x
_atom_site_fract_y
_atom_site_fract_z
B1 B 0.0000 0.0000 0.0000
B2 B 0.0425 0.5000 0.7332
B3 B 0.1720 0.5000 0.3475
B4 B 0.2407 0.0000 0.9662
B5 B 0.3790 0.5000 0.3813
C1 C 0.0716 0.5000 0.0929
C2 C 0.1604 0.5000 0.9143
C3 C 0.2382 0.0000 0.4612
C4 C 0.3113 0.0000 0.7586
C5 C 0.3162 0.0000 0.2759
C6 C 0.3794 0.5000 0.8122
C7 C 0.4737 0.5000 0.6440
```

=====

Which of them is the least stable? Correct choice: run a.

=====

Run a
TcHSe2 | GGA-PBE | relaxed

Structure (CIF):
```
data_TcHSe2
_cell_length_a 5.5931
_cell_length_b 3.2314
_cell_length_c 6.7216
_cell_angle_alpha 90.00
_cell_angle_beta 105.78
_cell_angle_gamma 90.00
_space_group_name_H-M_alt 'C 1 2/m 1'
_space_group_IT_number 12
_space_group_name_Hall '-C 2y'
loop_
_atom_site_label
_atom_site_type_symbol
_atom_site_fract_x
_atom_site_fract_y
_atom_site_fract_z
Tc1 Tc 0.0000 0.0000 0.0000
H1 H 0.0000 0.5000 0.5000
Se1 Se 0.2461 0.0000 0.7323
```

=====

Run b
TcHSe2 | GGA-PBE | relaxed

Structure (CIF):
```
data_TcHSe2
_cell_length_a 2.9635
_cell_length_b 2.9635
_cell_length_c 23.2953
_cell_angle_alpha 90.00
_cell_angle_beta 90.00
_cell_angle_gamma 120.00
_space_group_name_H-M_alt 'R -3 m'
_space_group_IT_number 166
_space_group_name_Hall '-R 3 2"'
loop_
_atom_site_label
_atom_site_type_symbol
_atom_site_fract_x
_atom_site_fract_y
_atom_site_fract_z
Tc1 Tc 0.0000 0.0000 0.0000
H1 H 0.0000 0.0000 0.5000
Se1 Se 0.0000 0.0000 0.1028
```

=====

Which of them is the least stable? Correct choice: run b.

=====

Run a
SrAg2Os | GGA-PBE | relaxed

Structure (CIF):
```
data_SrAg2Os
_cell_length_a 2.8089
_cell_length_b 4.8206
_cell_length_c 6.0837
_cell_angle_alpha 90.00
_cell_angle_beta 102.96
_cell_angle_gamma 90.00
_space_group_name_H-M_alt 'P 1 m 1'
_space_group_IT_number 6
_space_group_name_Hall 'P -2y'
loop_
_atom_site_label
_atom_site_type_symbol
_atom_site_fract_x
_atom_site_fract_y
_atom_site_fract_z
Sr1 Sr 0.0000 0.0000 0.0000
Ag1 Ag 0.6383 0.5000 0.2731
Ag2 Ag 0.6722 0.0000 0.5144
Os1 Os 0.3228 0.5000 0.7021
```

=====

Run b
SrAg2Os | GGA-PBE | relaxed

Structure (CIF):
```
data_SrAg2Os
_cell_length_a 4.5532
_cell_length_b 4.5532
_cell_length_c 8.0967
_cell_angle_alpha 90.00
_cell_angle_beta 90.00
_cell_angle_gamma 90.00
_space_group_name_H-M_alt 'I 4/m m m'
_space_group_IT_number 139
_space_group_name_Hall '-I 4 2'
loop_
_atom_site_label
_atom_site_type_symbol
_atom_site_fract_x
_atom_site_fract_y
_atom_site_fract_z
Sr1 Sr 0.0000 0.0000 0.0000
Ag1 Ag 0.0000 0.5000 0.2500
Os1 Os 0.0000 0.0000 0.5000
```

=====

Which of them is the least stable? Correct choice: run b.